The following is a PBE calculation of crystalline Nd2Dy2CI2Br2Cl at its relaxed geometry, from the Open Quantum Materials Database.

The structure in POSCAR format:
```
Nd2Dy2CI2Br2Cl
1.0
9.228 -1.945 0.000
9.228 1.945 0.000
-1.749 0.000 8.034
Nd Dy Cl C Br I
2 2 1 1 2 2
Cartesian
11.675 0.000 0.582
5.031 0.000 7.452
18.053 0.000 1.624
-1.347 0.000 6.410
8.353 0.000 4.017
9.228 0.000 0.000
1.631 0.000 6.557
15.075 0.000 1.477
14.361 0.000 5.035
2.345 0.000 3.000
```

Values from the calculation:
As for the symmetry: C2/m, No. 12. The magnetic moment comes out at 0.02 Bohr magnetons per cell. The energy relative to the lowest polymorph listed for this composition is 0.0328 eV per atom.

***

The following is a PBE calculation of crystalline Li4Zn2FeCu at its relaxed geometry, from the Open Quantum Materials Database.

The structure in POSCAR format:
```
Li4Zn2FeCu
1.0
-0.643 2.220 3.480
-1.454 -3.418 1.911
5.526 -1.312 1.858
Fe Li Cu Zn
1 4 1 2
Cartesian
-1.048 -0.599 2.696
1.714 -1.255 3.624
0.000 0.000 0.000
3.785 0.134 3.121
0.692 -2.046 1.433
2.763 -0.656 0.929
1.005 0.795 2.186
3.472 -2.706 2.367
```

Values from the calculation:
As for the symmetry: P-4m2, No. 115. The magnetic moment comes out at 1.84 Bohr magnetons per cell. The total energy is -2.767 eV per atom.

***

The following is a PBE calculation of crystalline TcGeB at its relaxed geometry, from the Open Quantum Materials Database.

The structure in POSCAR format:
```
TcGeB
1.0
0.611 -1.130 3.542
1.143 2.479 2.597
-2.347 1.066 2.749
Ge Tc B
1 1 1
Cartesian
-0.148 0.604 2.222
-0.444 1.811 6.666
0.000 0.000 0.000
```

Values from the calculation:
As for the symmetry: F-43m, No. 216. The magnetic moment comes out at 0.00 Bohr magnetons per cell. The energy relative to the lowest polymorph listed for this composition is 0.0000 eV per atom.

***

The following is a PBE calculation of crystalline Hf4SiAsC2 at its relaxed geometry, from the Open Quantum Materials Database.

The structure in POSCAR format:
```
Hf4SiAsC2
1.0
3.350 0.000 0.000
-1.675 2.901 0.000
0.000 0.000 12.960
Si C Hf As
1 2 4 1
Cartesian
1.675 0.967 6.480
0.000 1.934 9.784
0.000 1.934 3.176
1.675 0.967 11.027
0.000 0.000 4.429
0.000 0.000 8.531
1.675 0.967 1.933
0.000 0.000 0.000
```

Values from the calculation:
As for the symmetry: P-6m2, No. 187. The magnetic moment comes out at 0.01 Bohr magnetons per cell. The total energy is -9.419 eV per atom.

***

The following is a PBE calculation of crystalline CdSnAu at its relaxed geometry, from the Open Quantum Materials Database.

The structure in POSCAR format:
```
CdSnAu
1.0
3.429 1.960 4.497
-5.287 1.608 -2.299
-5.134 -6.950 6.943
Au Cd Sn
4 4 4
Cartesian
-3.346 -2.486 5.987
-3.645 -0.896 3.153
-2.298 0.927 1.332
-4.693 -4.310 7.809
-6.317 -2.582 3.631
-7.701 -4.455 5.503
0.709 1.073 3.638
-0.674 -0.800 5.509
-1.734 -4.207 10.143
-0.362 -2.349 8.288
-5.257 0.825 -1.003
-6.629 -1.033 0.853
```

Values from the calculation:
As for the symmetry: Cmcm, No. 63. The total energy is -2.696 eV per atom.

***

The following is a PBE calculation of crystalline AcZn at its relaxed geometry, from the Open Quantum Materials Database.

The structure in POSCAR format:
```
AcZn
1.0
6.564 0.000 0.000
0.000 11.819 0.000
0.000 0.000 4.608
Zn Ac
6 6
Cartesian
5.091 8.946 2.304
0.341 4.696 0.000
5.879 7.687 0.000
1.809 4.843 2.304
3.623 9.093 0.000
2.596 6.102 0.000
3.348 2.884 0.000
1.630 8.105 2.304
0.121 2.185 2.304
3.403 11.604 2.304
0.066 10.905 0.000
4.911 5.685 2.304
```

Values from the calculation:
As for the symmetry: Pmc2_1, No. 26. The magnetic moment comes out at 0.03 Bohr magnetons per cell. The calculation puts the formation energy at -0.29 eV per formula unit.

***

The following is a PBE calculation of crystalline FePdPt6 at its relaxed geometry, from the Open Quantum Materials Database.

The structure in POSCAR format:
```
FePdPt6
1.0
-0.026 0.576 -3.893
3.736 -1.218 -0.205
-2.471 -7.395 -1.078
Pt Fe Pd
6 1 1
Cartesian
-1.845 -5.196 -2.746
1.230 -2.520 -0.381
1.855 -0.321 -2.049
0.036 -6.094 -0.902
-0.651 -1.623 -2.225
0.620 -4.019 -2.588
-1.235 -3.698 -0.539
0.000 0.000 0.000
```

Values from the calculation:
As for the symmetry: P4/mmm, No. 123. The magnetic moment comes out at 4.76 Bohr magnetons per cell. The calculation puts the formation energy at -1.12 eV per formula unit.

***

The following is a PBE calculation of crystalline Li4Zn2CuPd at its relaxed geometry, from the Open Quantum Materials Database.

The structure in POSCAR format:
```
Li4Zn2CuPd
1.0
4.246 0.000 0.000
0.000 4.246 0.000
0.000 0.000 6.010
Li Zn Pd Cu
4 2 1 1
Cartesian
2.123 2.123 0.000
0.000 2.123 4.513
2.123 0.000 1.497
0.000 0.000 3.005
0.000 2.123 1.491
2.123 0.000 4.519
2.123 2.123 3.005
0.000 0.000 0.000
```

Values from the calculation:
As for the symmetry: P-4m2, No. 115. The total energy is -2.665 eV per atom.

***

The following is a PBE calculation of crystalline ZnSe at its relaxed geometry, from the Open Quantum Materials Database.

The structure in POSCAR format:
```
ZnSe
1.0
-1.867 1.574 3.211
-2.163 -1.525 -3.044
0.051 -5.956 2.949
Zn Se
2 2
Cartesian
-1.940 -2.440 2.602
-2.064 -0.495 -0.957
-2.045 -2.723 0.146
-1.921 -4.668 3.705
```

Values from the calculation:
As for the symmetry: P6_3mc, No. 186. The total energy is -3.087 eV per atom.

***

The following is a PBE calculation of crystalline GdPbSO at its relaxed geometry, from the Open Quantum Materials Database.

The structure in POSCAR format:
```
GdPbSO
1.0
-2.541 2.373 -5.326
5.504 -1.911 -3.478
-7.394 -15.302 -3.291
Gd Pb S O
8 8 8 8
Cartesian
1.309 -2.810 -8.188
1.021 -3.455 -4.540
-5.452 -11.385 -7.555
-5.740 -12.031 -3.907
-1.977 -10.845 -8.972
-2.265 -11.490 -5.325
-2.166 -3.350 -6.770
-2.454 -3.996 -3.123
-4.317 -15.386 -7.216
-3.794 -7.652 -4.019
-4.682 -14.514 -10.452
-0.636 -7.189 -8.076
-0.272 -8.061 -4.840
-4.159 -6.780 -7.255
0.251 -0.326 -1.643
-0.113 0.546 -4.879
-2.288 -9.084 -6.784
0.458 -10.782 -5.053
-2.143 -5.757 -5.311
-4.589 -14.576 -4.335
-7.335 -12.878 -6.066
2.904 -1.963 -6.029
-4.889 -4.058 -7.042
0.158 -0.264 -7.760
-4.503 -11.260 -5.488
-4.107 -10.783 -9.262
-2.626 -2.513 -4.844
2.374 -5.126 -4.597
-0.324 -4.058 -2.833
-1.804 -12.327 -7.251
0.072 -3.581 -6.608
-6.805 -9.715 -7.498
```

Values from the calculation:
As for the symmetry: Pbca, No. 61. The magnetic moment comes out at 0.00 Bohr magnetons per cell. The energy relative to the lowest polymorph listed for this composition is 0.0049 eV per atom.

***

The following is a PBE calculation of crystalline LiErCo at its relaxed geometry, from the Open Quantum Materials Database.

The structure in POSCAR format:
```
LiErCo
1.0
0.000 2.950 2.950
2.950 0.000 2.950
2.950 2.950 0.000
Er Li Co
1 1 1
Cartesian
2.950 2.950 2.950
1.475 1.475 1.475
0.000 0.000 0.000
```

Values from the calculation:
As for the symmetry: F-43m, No. 216. The magnetic moment comes out at 0.01 Bohr magnetons per cell. The total energy is -4.064 eV per atom.

***

The following is a PBE calculation of crystalline Er2TmAl2Cd3In at its relaxed geometry, from the Open Quantum Materials Database.

The structure in POSCAR format:
```
Er2TmAl2Cd3In
1.0
-2.620 -0.940 -3.582
-0.096 -7.013 1.910
-5.093 4.522 2.539
Al Cd Tm In Er
2 3 1 1 2
Cartesian
-4.737 0.205 0.538
-3.073 -3.635 0.329
-2.640 -1.108 -0.651
-1.381 -5.688 -0.370
-5.100 2.895 0.098
-2.919 -1.401 2.503
-5.187 -2.490 4.447
-2.228 1.978 1.111
-0.042 -3.068 0.836
```

Values from the calculation:
As for the symmetry: Amm2, No. 38. The magnetic moment comes out at 0.00 Bohr magnetons per cell. The total energy is -3.321 eV per atom.

***

The following is a PBE calculation of crystalline CsHfAl at its relaxed geometry, from the Open Quantum Materials Database.

The structure in POSCAR format:
```
CsHfAl
1.0
3.166 -3.258 2.381
3.370 1.756 3.444
-0.652 -1.030 4.982
Hf Al Cs
1 1 1
Cartesian
0.000 0.000 0.000
1.471 -0.633 2.702
4.413 -1.899 8.105
```

Values from the calculation:
As for the symmetry: F-43m, No. 216. The magnetic moment comes out at 0.00 Bohr magnetons per cell. The energy relative to the lowest polymorph listed for this composition is 0.0000 eV per atom.

***

The following is a PBE calculation of crystalline ZnH2O2 at its relaxed geometry, from the Open Quantum Materials Database.

The structure in POSCAR format:
```
ZnH2O2
1.0
4.841 0.000 0.000
0.000 5.234 0.000
0.000 0.000 3.154
Zn O H
2 4 4
Cartesian
2.421 2.617 0.000
0.000 0.000 1.577
3.199 3.826 1.577
1.642 1.408 1.577
4.062 1.209 0.000
0.779 4.025 0.000
4.796 3.495 0.000
0.045 1.738 0.000
2.465 0.878 1.577
2.376 4.355 1.577
```

Values from the calculation:
As for the symmetry: Pnnm, No. 58. The total energy is -4.672 eV per atom.

***

The following is a PBE calculation of crystalline ZnAgPd2 at its relaxed geometry, from the Open Quantum Materials Database.

The structure in POSCAR format:
```
ZnAgPd2
1.0
0.000 3.160 3.160
3.160 0.000 3.160
3.160 3.160 0.000
Ag Pd Zn
1 2 1
Cartesian
1.580 1.580 1.580
0.000 0.000 0.000
4.740 4.740 4.740
3.160 3.160 3.160
```

Values from the calculation:
As for the symmetry: F-43m, No. 216. The calculation puts the formation energy at -0.90 eV per formula unit.

***

The following is a PBE calculation of crystalline NdGdGe at its relaxed geometry, from the Open Quantum Materials Database.

The structure in POSCAR format:
```
NdGdGe
1.0
1.787 4.261 7.503
0.686 8.325 2.803
-4.307 -6.284 -4.427
Nd Gd Ge
2 2 2
Cartesian
-1.260 -1.012 1.538
-1.810 1.020 -0.812
1.688 8.588 7.033
0.786 3.998 3.274
2.130 10.837 8.874
0.344 1.749 1.432
```

Values from the calculation:
As for the symmetry: I4/mmm, No. 139. The magnetic moment comes out at 0.01 Bohr magnetons per cell. The total energy is -5.266 eV per atom.

***

The following is a PBE calculation of crystalline PrNdNO at its relaxed geometry, from the Open Quantum Materials Database.

The structure in POSCAR format:
```
PrNdNO
1.0
0.399 3.932 -0.586
-5.029 0.966 3.058
3.651 0.500 5.845
Nd O N Pr
2 2 2 2
Cartesian
0.782 2.856 6.080
-4.172 3.005 3.704
-1.200 3.235 7.272
-1.113 2.419 1.857
0.459 0.713 5.097
-3.272 1.029 4.678
-2.542 1.288 6.920
-1.242 0.639 3.447
```

Values from the calculation:
As for the symmetry: Pmc2_1, No. 26. The magnetic moment comes out at 0.01 Bohr magnetons per cell. The energy relative to the lowest polymorph listed for this composition is 0.1132 eV per atom.

***

The following is a PBE calculation of crystalline Li2NbRe at its relaxed geometry, from the Open Quantum Materials Database.

The structure in POSCAR format:
```
Li2NbRe
1.0
-3.029 -3.057 0.869
-2.786 0.559 3.346
-4.239 0.824 -0.788
Li Nb Re
2 1 1
Cartesian
-2.514 -0.418 0.857
-5.027 -0.837 1.713
0.000 0.000 0.000
-7.541 -1.255 2.570
```

Values from the calculation:
As for the symmetry: F-43m, No. 216. The magnetic moment comes out at 0.00 Bohr magnetons per cell. The total energy is -6.176 eV per atom.

***

The following is a PBE calculation of crystalline NaZrTe4Au3 at its relaxed geometry, from the Open Quantum Materials Database.

The structure in POSCAR format:
```
NaZrTe4Au3
1.0
6.595 0.000 0.000
0.000 6.595 0.000
0.000 0.000 6.595
Te Na Zr Au
4 1 1 3
Cartesian
4.889 1.705 4.889
1.705 1.705 1.705
1.705 4.889 4.889
4.889 4.889 1.705
0.000 0.000 0.000
3.297 3.297 3.297
3.297 0.000 3.297
3.297 3.297 0.000
0.000 3.297 3.297
```

Values from the calculation:
As for the symmetry: P-43m, No. 215. The magnetic moment comes out at 0.00 Bohr magnetons per cell. The energy relative to the lowest polymorph listed for this composition is 0.0000 eV per atom.

***

The following is a PBE calculation of crystalline TePd12 at its relaxed geometry, from the Open Quantum Materials Database.

The structure in POSCAR format:
```
TePd12
1.0
4.762 0.000 0.000
-0.054 7.279 0.000
-1.208 -1.368 12.504
Pd Te
24 2
Cartesian
3.017 1.688 9.594
1.512 5.939 11.266
3.653 2.079 2.050
0.483 4.223 2.909
0.546 3.216 5.602
2.157 5.309 6.442
0.674 1.211 10.938
2.908 3.719 4.261
2.073 6.289 3.821
1.988 -0.028 1.238
-0.202 4.811 7.750
2.827 4.701 1.566
1.292 1.593 3.483
1.427 -0.377 8.683
2.954 2.695 6.902
1.344 0.602 6.061
3.760 0.111 7.378
2.208 4.318 9.021
3.703 1.100 4.754
-0.260 5.800 5.126
4.382 6.781 2.480
-0.881 -0.870 10.023
-0.153 3.832 10.454
0.593 2.193 8.243
2.264 3.414 11.548
1.237 2.497 0.956
```

Values from the calculation:
As for the symmetry: P-1, No. 2. The energy relative to the lowest polymorph listed for this composition is 0.0000 eV per atom.